The following is a PBE-GGA calculation of crystalline Ac2LaCd2 at its relaxed geometry, from the Open Quantum Materials Database.

Results
Formation energy   -0.05 eV/atom
Total energy   -30.32 eV per cell
Symmetry   P6_3/mmc
Calculated density   7.24 Mg/m³

a = 5.5082 Å, b = 5.5082 Å, c = 14.2755 Å
α = 90.00°, β = 90.00°, γ = 120.00°
With the nearest neighbours (Å) after each atom.
Sites, in units of the cell vectors:
Ac  0.3333  0.6667  0.0843  4 Cd 3.32-3.37
Ac  0.3333  0.6667  0.4157  4 Cd 3.32-3.37
Ac  0.6667  0.3333  0.5843  4 Cd 3.32-3.37
Ac  0.6667  0.3333  0.9157  4 Cd 3.32-3.37
La  0.0000  0.0000  0.2500  6 Cd 3.47
La  0.0000  0.0000  0.7500  6 Cd 3.47
Cd  0.3333  0.6667  0.6519  1 Cd 2.80
Cd  0.3333  0.6667  0.8481  1 Cd 2.80
Cd  0.6667  0.3333  0.1519  1 Cd 2.80
Cd  0.6667  0.3333  0.3481  1 Cd 2.80



The following is a PBE-GGA calculation of crystalline LiAcCd at its relaxed geometry, from the Open Quantum Materials Database.

Results
Total energy   -26.50 eV per cell
Symmetry   F-43m
Calculated density   6.31 Mg/m³
Polymorph energy (0 for the lowest one)   0.00 eV per formula unit

a = 7.1449 Å, b = 7.1449 Å, c = 7.1449 Å
α = 90.00°, β = 90.00°, γ = 90.00°
With the nearest neighbours (Å) after each atom.
Sites, in units of the cell vectors:
Li  0.0000  0.0000  0.0000  4 Cd 3.09, 4 Ac 3.09
Li  0.0000  0.5000  0.5000  4 Cd 3.09, 4 Ac 3.09
Li  0.5000  0.0000  0.5000  4 Cd 3.09, 4 Ac 3.09
Li  0.5000  0.5000  0.0000  4 Cd 3.09, 4 Ac 3.09
Ac  0.2500  0.2500  0.7500  4 Li 3.09
Ac  0.2500  0.7500  0.2500  4 Li 3.09
Ac  0.7500  0.2500  0.2500  4 Li 3.09
Ac  0.7500  0.7500  0.7500  4 Li 3.09
Cd  0.2500  0.2500  0.2500  4 Li 3.09
Cd  0.2500  0.7500  0.7500  4 Li 3.09
Cd  0.7500  0.2500  0.7500  4 Li 3.09
Cd  0.7500  0.7500  0.2500  4 Li 3.09



The following is a PBE-GGA calculation of crystalline LiAcCd at its relaxed geometry, from the Open Quantum Materials Database.

Results
Total energy   -23.27 eV per cell
Symmetry   F-43m
Calculated density   5.43 Mg/m³
Polymorph energy (0 for the lowest one)   0.81 eV per formula unit

a = 7.5101 Å, b = 7.5101 Å, c = 7.5101 Å
α = 90.00°, β = 90.00°, γ = 90.00°
With the nearest neighbours (Å) after each atom.
Sites, in units of the cell vectors:
Li  0.0000  0.0000  0.0000  4 Ac 3.25
Li  0.0000  0.5000  0.5000  4 Ac 3.25
Li  0.5000  0.0000  0.5000  4 Ac 3.25
Li  0.5000  0.5000  0.0000  4 Ac 3.25
Ac  0.2500  0.2500  0.7500  4 Cd 3.25, 4 Li 3.25
Ac  0.2500  0.7500  0.2500  4 Cd 3.25, 4 Li 3.25
Ac  0.7500  0.2500  0.2500  4 Cd 3.25, 4 Li 3.25
Ac  0.7500  0.7500  0.7500  4 Cd 3.25, 4 Li 3.25
Cd  0.0000  0.0000  0.5000  4 Ac 3.25
Cd  0.0000  0.5000  0.0000  4 Ac 3.25
Cd  0.5000  0.0000  0.0000  4 Ac 3.25
Cd  0.5000  0.5000  0.5000  4 Ac 3.25



The following is a PBE-GGA calculation of crystalline AcLuCd at its relaxed geometry, from the Open Quantum Materials Database.

Results
Formation energy   0.59 eV/atom
Total energy   -31.01 eV per cell
Symmetry   F-43m
Calculated density   7.68 Mg/m³
Polymorph energy (0 for the lowest one)   0.52 eV per formula unit

a = 7.6348 Å, b = 7.6348 Å, c = 7.6348 Å
α = 90.00°, β = 90.00°, γ = 90.00°
With the nearest neighbours (Å) after each atom.
Sites, in units of the cell vectors:
Ac  0.0000  0.0000  0.0000  4 Cd 3.31, 4 Lu 3.31
Ac  0.0000  0.5000  0.5000  4 Cd 3.31, 4 Lu 3.31
Ac  0.5000  0.0000  0.5000  4 Cd 3.31, 4 Lu 3.31
Ac  0.5000  0.5000  0.0000  4 Cd 3.31, 4 Lu 3.31
Lu  0.2500  0.2500  0.2500  4 Ac 3.31
Lu  0.2500  0.7500  0.7500  4 Ac 3.31
Lu  0.7500  0.2500  0.7500  4 Ac 3.31
Lu  0.7500  0.7500  0.2500  4 Ac 3.31
Cd  0.2500  0.2500  0.7500  4 Ac 3.31
Cd  0.2500  0.7500  0.2500  4 Ac 3.31
Cd  0.7500  0.2500  0.2500  4 Ac 3.31
Cd  0.7500  0.7500  0.7500  4 Ac 3.31



The following is a PBE-GGA calculation of crystalline AcLuCd at its relaxed geometry, from the Open Quantum Materials Database.

Results
Formation energy   0.42 eV/atom
Total energy   -33.11 eV per cell
Symmetry   F-43m
Calculated density   8.49 Mg/m³
Polymorph energy (0 for the lowest one)   0.00 eV per formula unit

a = 7.3822 Å, b = 7.3822 Å, c = 7.3822 Å
α = 90.00°, β = 90.00°, γ = 90.00°
With the nearest neighbours (Å) after each atom.
Sites, in units of the cell vectors:
Ac  0.0000  0.0000  0.0000  4 Lu 3.20
Ac  0.0000  0.5000  0.5000  4 Lu 3.20
Ac  0.5000  0.0000  0.5000  4 Lu 3.20
Ac  0.5000  0.5000  0.0000  4 Lu 3.20
Lu  0.2500  0.2500  0.2500  4 Cd 3.20, 4 Ac 3.20
Lu  0.2500  0.7500  0.7500  4 Cd 3.20, 4 Ac 3.20
Lu  0.7500  0.2500  0.7500  4 Cd 3.20, 4 Ac 3.20
Lu  0.7500  0.7500  0.2500  4 Cd 3.20, 4 Ac 3.20
Cd  0.0000  0.0000  0.5000  4 Lu 3.20
Cd  0.0000  0.5000  0.0000  4 Lu 3.20
Cd  0.5000  0.0000  0.0000  4 Lu 3.20
Cd  0.5000  0.5000  0.5000  4 Lu 3.20



The following is a PBE-GGA calculation of crystalline AcMg4Cd8 at its relaxed geometry, from the Open Quantum Materials Database.

Results
Total energy   -20.07 eV per cell
Symmetry   I4/mmm
Calculated density   6.77 Mg/m³

a = 7.6740 Å, b = 7.6740 Å, c = 7.6740 Å
α = 98.88°, β = 98.88°, γ = 133.73°
With the nearest neighbours (Å) after each atom.
Sites, in units of the cell vectors:
Ac  0.0000  0.0000  0.0000  12 Cd 3.49-3.72, 8 Mg 3.84
Mg  0.0000  0.0000  0.5000  8 Cd 2.93-3.08, 2 Mg 3.02
Mg  0.0000  0.5000  0.0000  8 Cd 2.93-3.08, 2 Mg 3.02
Mg  0.5000  0.0000  0.0000  8 Cd 2.93-3.08, 2 Mg 3.02
Mg  0.5000  0.5000  0.5000  8 Cd 2.93-3.08, 2 Mg 3.02
Cd  0.0000  0.3501  0.3501  5 Cd 2.99-3.29, 4 Mg 3.08
Cd  0.0000  0.6499  0.6499  5 Cd 2.99-3.29, 4 Mg 3.08
Cd  0.2814  0.5000  0.7814  4 Mg 2.93, 4 Cd 3.08-3.18
Cd  0.3501  0.0000  0.3501  5 Cd 2.99-3.29, 4 Mg 3.08
Cd  0.5000  0.2814  0.7814  4 Mg 2.93, 4 Cd 3.08-3.18
Cd  0.5000  0.7186  0.2186  4 Mg 2.93, 4 Cd 3.08-3.18
Cd  0.6499  0.0000  0.6499  5 Cd 2.99-3.29, 4 Mg 3.08
Cd  0.7186  0.5000  0.2186  4 Mg 2.93, 4 Cd 3.08-3.18